Entry 1:
## Ho12Pt3N5 (PBE)

Data for crystalline Ho12Pt3N5 at its relaxed geometry.

For the total energy, the calculation gives -6.861 eV per atom. The uncorrected formation energy comes out at -1.13 eV per atom. For the spin magnetization, the calculation gives 0.00 Bohr magnetons per cell. As for the symmetry: Ia-3d (230).

Lattice parameters (Å, degrees): 13.134 13.134 13.134 109.47 109.47 109.47
Sites, in units of the cell vectors:
Ho (0.022, 0.204, 0.119)
Ho (0.022, 0.317, 0.903)
Ho (0.086, 0.704, 0.683)
Ho (0.086, 0.881, 0.403)
Ho (0.097, 0.619, 0.414)
Ho (0.097, 0.978, 0.683)
Ho (0.119, 0.022, 0.204)
Ho (0.119, 0.597, 0.914)
Ho (0.183, 0.204, 0.586)
Ho (0.183, 0.478, 0.597)
Ho (0.204, 0.119, 0.022)
Ho (0.204, 0.586, 0.183)
Ho (0.296, 0.317, 0.914)
Ho (0.296, 0.478, 0.381)
Ho (0.317, 0.903, 0.022)
Ho (0.317, 0.914, 0.296)
Ho (0.381, 0.296, 0.478)
Ho (0.381, 0.586, 0.903)
Ho (0.403, 0.086, 0.881)
Ho (0.403, 0.817, 0.522)
Ho (0.414, 0.097, 0.619)
Ho (0.414, 0.817, 0.796)
Ho (0.478, 0.381, 0.296)
Ho (0.478, 0.597, 0.183)
Ho (0.522, 0.403, 0.817)
Ho (0.522, 0.619, 0.704)
Ho (0.586, 0.183, 0.204)
Ho (0.586, 0.903, 0.381)
Ho (0.597, 0.183, 0.478)
Ho (0.597, 0.914, 0.119)
Ho (0.619, 0.414, 0.097)
Ho (0.619, 0.704, 0.522)
Ho (0.683, 0.086, 0.704)
Ho (0.683, 0.097, 0.978)
Ho (0.704, 0.522, 0.619)
Ho (0.704, 0.683, 0.086)
Ho (0.796, 0.414, 0.817)
Ho (0.796, 0.881, 0.978)
Ho (0.817, 0.522, 0.403)
Ho (0.817, 0.796, 0.414)
Ho (0.881, 0.403, 0.086)
Ho (0.881, 0.978, 0.796)
Ho (0.903, 0.022, 0.317)
Ho (0.903, 0.381, 0.586)
Ho (0.914, 0.119, 0.597)
Ho (0.914, 0.296, 0.317)
Ho (0.978, 0.683, 0.097)
Ho (0.978, 0.796, 0.881)
Pt (0.125, 0.250, 0.375)
Pt (0.125, 0.375, 0.750)
Pt (0.250, 0.375, 0.125)
Pt (0.250, 0.875, 0.625)
Pt (0.375, 0.125, 0.250)
Pt (0.375, 0.750, 0.125)
Pt (0.625, 0.250, 0.875)
Pt (0.625, 0.875, 0.750)
Pt (0.750, 0.125, 0.375)
Pt (0.750, 0.625, 0.875)
Pt (0.875, 0.625, 0.250)
Pt (0.875, 0.750, 0.625)
N (0.000, 0.000, 0.000)
N (0.000, 0.000, 0.500)
N (0.000, 0.500, 0.000)
N (0.000, 0.500, 0.500)
N (0.125, 0.750, 0.875)
N (0.125, 0.875, 0.250)
N (0.250, 0.125, 0.875)
N (0.250, 0.625, 0.375)
N (0.375, 0.250, 0.625)
N (0.375, 0.625, 0.750)
N (0.500, 0.000, 0.000)
N (0.500, 0.000, 0.500)
N (0.500, 0.500, 0.000)
N (0.500, 0.500, 0.500)
N (0.625, 0.375, 0.250)
N (0.625, 0.750, 0.375)
N (0.750, 0.375, 0.625)
N (0.750, 0.875, 0.125)
N (0.875, 0.125, 0.750)
N (0.875, 0.250, 0.125)

Entry 2:
## Ho4Pt2N (PBE)

Data for crystalline Ho4Pt2N at its relaxed geometry.

For the total energy, the calculation gives -6.672 eV per atom. The uncorrected formation energy comes out at -1.14 eV per atom. For the spin magnetization, the calculation gives 0.00 Bohr magnetons per cell. As for the symmetry: I4/mmm (139).

Lattice parameters (Å, degrees): 7.925 7.925 7.925 146.18 146.18 48.58
Sites, in units of the cell vectors:
Ho (0.000, 0.500, 0.500)
Ho (0.176, 0.176, 0.000)
Ho (0.500, 0.000, 0.500)
Ho (0.824, 0.824, 0.000)
Pt (0.367, 0.367, 0.000)
Pt (0.633, 0.633, 0.000)
N (0.000, 0.000, 0.000)

Entry 3:
## Ho3PtN (PBE)

Data for crystalline Ho3PtN at its relaxed geometry.

For the total energy, the calculation gives -6.706 eV per atom. The uncorrected formation energy comes out at -1.09 eV per atom. For the spin magnetization, the calculation gives 0.00 Bohr magnetons per cell. As for the symmetry: Pm-3m (221).

Lattice parameters (Å, degrees): 4.677 4.677 4.677 90.00 90.00 90.00
Sites, in units of the cell vectors:
Ho (0.000, 0.000, 0.500)
Ho (0.000, 0.500, 0.000)
Ho (0.500, 0.000, 0.000)
Pt (0.500, 0.500, 0.500)
N (0.000, 0.000, 0.000)

Entry 4:
## Ho2ThPtN4 (PBE)

Data for crystalline Ho2ThPtN4 at its relaxed geometry.

For the total energy, the calculation gives -8.045 eV per atom. The uncorrected formation energy comes out at -1.06 eV per atom. For the spin magnetization, the calculation gives 0.00 Bohr magnetons per cell. As for the symmetry: Cmcm (63).

Lattice parameters (Å, degrees): 6.111 6.111 11.675 90.00 90.00 147.24
Sites, in units of the cell vectors:
Ho (0.127, 0.873, 0.550)
Ho (0.127, 0.873, 0.950)
Ho (0.873, 0.127, 0.050)
Ho (0.873, 0.127, 0.450)
Th (0.386, 0.614, 0.750)
Th (0.614, 0.386, 0.250)
Pt (0.353, 0.647, 0.250)
Pt (0.647, 0.353, 0.750)
N (0.040, 0.960, 0.750)
N (0.218, 0.782, 0.126)
N (0.218, 0.782, 0.374)
N (0.500, 0.500, 0.000)
N (0.500, 0.500, 0.500)
N (0.782, 0.218, 0.626)
N (0.782, 0.218, 0.874)
N (0.960, 0.040, 0.250)